(1)
DFT (GGA-PBE) results for RbGaRe3 after structural relaxation.

Properties
E above lowest polymorph   0.0 kJ/mol of atoms
Formation energy   1170 kJ/mol of formula units

abc: 4.761 4.761 4.761
angles: 90.00 90.00 90.00
Sites, in units of the cell vectors:
Re 0.000 0.500 0.000
Re 0.000 0.000 0.500
Re 0.500 0.000 0.000
Ga 0.000 0.000 0.000
Rb 0.500 0.500 0.500



(2)
DFT (GGA-PBE) results for YMnIr2 after structural relaxation.

Properties
Formation energy   76 kJ/mol of formula units

abc: 4.721 4.721 8.481
angles: 73.84 73.84 90.00
Sites, in units of the cell vectors:
Y 0.000 0.000 0.000
Y 0.750 0.250 0.500
Ir 0.465 0.125 0.250
Ir 0.285 0.625 0.250
Ir 0.375 0.535 0.750
Ir 0.875 0.715 0.750
Mn 0.500 0.500 0.000
Mn 0.250 0.750 0.500



(3)
DFT (GGA-PBE) results for LiCa3Pr3S8 after structural relaxation.

Properties
Formation energy from raw total energies   -28.8 eV per formula unit

abc: 8.121 8.121 8.099
angles: 120.09 90.00 120.00
Sites, in units of the cell vectors:
Li 0.000 0.000 0.500
Ca 0.000 0.000 0.000
Ca 0.000 0.500 0.000
Ca 0.500 0.500 0.000
Pr 0.500 0.000 0.500
Pr 0.500 0.500 0.500
Pr 0.000 0.500 0.500
S 0.249 0.497 0.246
S 0.751 0.503 0.754
S 0.758 0.516 0.260
S 0.242 0.484 0.740
S 0.758 0.002 0.260
S 0.242 0.998 0.740
S 0.244 0.002 0.260
S 0.756 0.998 0.740



(4)
DFT (GGA-PBE) results for TcS after structural relaxation.

Properties
Formation energy from raw total energies   -0.6 eV per formula unit
E above lowest polymorph   10.9 kJ/mol of atoms

abc: 9.000 9.000 3.091
angles: 90.00 90.00 120.00
Sites, in units of the cell vectors:
Tc 0.870 0.370 0.250
Tc 0.500 0.870 0.750
Tc 0.630 0.500 0.250
Tc 0.130 0.630 0.750
Tc 0.500 0.130 0.250
Tc 0.370 0.500 0.750
S 0.705 0.050 0.250
S 0.655 0.705 0.750
S 0.950 0.655 0.250
S 0.295 0.950 0.750
S 0.345 0.295 0.250
S 0.050 0.345 0.750



(5)
DFT (GGA-PBE) results for Li3ZrSe after structural relaxation.

Properties
Formation energy from raw total energies   0.4 eV per formula unit
E above lowest polymorph   0.0 kJ/mol of atoms

abc: 4.673 4.673 4.673
angles: 90.00 90.00 90.00
Sites, in units of the cell vectors:
Se 0.000 0.000 0.000
Zr 0.500 0.500 0.500
Li 0.000 0.500 0.000
Li 0.000 0.000 0.500
Li 0.500 0.000 0.000



(6)
DFT (GGA-PBE) results for SrPmIn after structural relaxation.

Properties
E above lowest polymorph   0.0 kJ/mol of atoms
Formation energy   -94 kJ/mol of formula units

abc: 5.624 5.624 7.259
angles: 90.00 90.00 120.01
Sites, in units of the cell vectors:
Sr 0.000 0.500 0.000
Sr 0.000 0.500 0.500
Pm 0.333 0.167 0.750
Pm 0.667 0.833 0.250
In 0.667 0.833 0.750
In 0.333 0.167 0.250